# Ag2Sb2Te meta-GGA SCAN PBEsol geometry
data_Ag2Sb2Te
_chemical_formula_sum 'Ag4 Sb4 Te2'
_symmetry_space_group_name_H-M 'P 1'
_symmetry_Int_Tables_number 1
_cell_length_a 3.876
_cell_length_b 3.876
_cell_length_c 15.761
_cell_angle_alpha 90.00
_cell_angle_beta 90.00
_cell_angle_gamma 90.00
loop_
_symmetry_equiv_pos_as_xyz
'x,y,z'
loop_
_atom_site_label
_atom_site_type_symbol
_atom_site_fract_x
_atom_site_fract_y
_atom_site_fract_z
Ag1 Ag 0.000 0.500 0.250
Ag2 Ag 0.000 0.500 0.750
Ag3 Ag 0.500 0.000 0.250
Ag4 Ag 0.500 0.000 0.750
Sb1 Sb 0.000 0.000 0.113
Sb2 Sb 0.000 0.000 0.887
Sb3 Sb 0.500 0.500 0.387
Sb4 Sb 0.500 0.500 0.613
Te1 Te 0.000 0.000 0.500
Te2 Te 0.500 0.500 0.000
# * formation energy without anion corrections: 99 kJ/mol of formula units
# * SG: I4/mmm (139)

# CaScAsAu2 meta-GGA SCAN PBEsol geometry
data_CaScAsAu2
_chemical_formula_sum 'Ca1 Sc1 As1 Au2'
_symmetry_space_group_name_H-M 'P 1'
_symmetry_Int_Tables_number 1
_cell_length_a 4.875
_cell_length_b 4.875
_cell_length_c 5.136
_cell_angle_alpha 90.00
_cell_angle_beta 90.00
_cell_angle_gamma 90.00
loop_
_symmetry_equiv_pos_as_xyz
'x,y,z'
loop_
_atom_site_label
_atom_site_type_symbol
_atom_site_fract_x
_atom_site_fract_y
_atom_site_fract_z
Ca1 Ca 0.000 0.000 0.000
Sc1 Sc 0.500 0.500 0.000
As1 As 0.000 0.000 0.500
Au1 Au 0.000 0.500 0.500
Au2 Au 0.500 0.000 0.500
# * formation energy from the elements: 0.01 eV per atom
# * SG: P4/mmm (123)

M_tot in Bohr magnetons per cell, matching the order above: 0.000, 0.006